Arrangement P

TiInCl4 GGA-PBE optimized geometry; symmetry = C2/c; theoretical density = 3233 kg/m3
1.0
-5.448 0.134 -2.937
-2.317 -4.963 4.072
0.903 6.379 5.139
Ti In Cl
2 2 8
direct
0.500 0.000 0.500 Ti
0.000 0.500 0.500 Ti
0.796 0.750 0.000 In
0.204 0.250 0.000 In
0.501 0.049 0.794 Cl
0.707 0.451 0.206 Cl
0.499 0.951 0.206 Cl
0.293 0.549 0.794 Cl
0.861 0.829 0.604 Cl
0.257 0.671 0.396 Cl
0.139 0.171 0.396 Cl
0.743 0.329 0.604 Cl

=====

Arrangement Q

TiInCl4 GGA-PBE optimized geometry; symmetry = C2/c; theoretical density = 2691 kg/m3
1.0
-2.915 -2.949 4.468
8.057 -2.053 1.406
-1.353 8.088 1.961
Ti In Cl
2 2 8
direct
0.750 0.059 0.941 Ti
0.250 0.941 0.059 Ti
0.750 0.701 0.299 In
0.250 0.299 0.701 In
0.307 0.660 0.027 Cl
0.177 0.222 0.096 Cl
0.807 0.027 0.660 Cl
0.677 0.096 0.222 Cl
0.693 0.340 0.973 Cl
0.193 0.973 0.340 Cl
0.823 0.778 0.904 Cl
0.323 0.904 0.778 Cl

=====

Winner for stability: arrangement Q

=====

Arrangement P

Tl2InCl GGA-PBE optimized geometry; symmetry = C2/m; theoretical density = 7774 kg/m3
1.0
6.263 -0.029 -0.035
5.158 3.553 -0.035
0.629 0.194 5.326
Tl Cl In
2 1 1
direct
0.977 0.977 0.999 Tl
0.523 0.523 0.501 Tl
0.750 0.750 0.750 Cl
0.250 0.250 0.250 In

=====

Arrangement Q

Tl2InCl GGA-PBE optimized geometry; symmetry = Cmm2; theoretical density = 7933 kg/m3
1.0
-1.876 2.942 -0.527
-1.825 -2.942 -0.686
-3.179 -0.289 9.698
Tl Cl In
2 1 1
direct
0.000 0.000 0.991 Tl
0.500 0.500 0.270 Tl
0.000 0.000 0.517 Cl
0.500 0.500 0.722 In

=====

Winner for stability: arrangement P

=====

Arrangement P

Tl2InCl GGA-PBE optimized geometry; symmetry = Cm; theoretical density = 7757 kg/m3
1.0
6.266 -0.013 -0.376
5.132 3.595 -0.376
0.373 0.117 5.272
Tl Cl In
2 1 1
direct
0.000 0.000 0.123 Tl
0.743 0.743 0.627 Tl
0.489 0.489 0.623 Cl
0.268 0.268 0.127 In

=====

Arrangement Q

Tl2InCl GGA-PBE optimized geometry; symmetry = P4/mmm; theoretical density = 7698 kg/m3
1.0
-2.522 -2.272 2.556
2.427 -3.426 -0.650
3.786 1.689 5.238
Tl Cl In
2 1 1
direct
0.000 0.000 0.011 Tl
0.000 0.000 0.489 Tl
0.500 0.500 0.250 Cl
0.500 0.500 0.750 In

=====

Arrangement R

Tl2InCl GGA-PBE optimized geometry; symmetry = F-43m; theoretical density = 7952 kg/m3
1.0
-4.213 -3.415 0.827
0.843 -5.420 0.112
-0.419 -2.744 4.732
Tl Cl In
2 1 1
direct
0.000 0.000 0.000 Tl
0.250 0.250 0.250 Tl
0.500 0.500 0.500 Cl
0.750 0.750 0.750 In

=====

Winner for stability: arrangement P

=====

Arrangement P

Tl2InCl GGA-PBE optimized geometry; symmetry = P4mm; theoretical density = 7784 kg/m3
1.0
-0.985 -1.549 3.073
3.400 0.057 1.118
-1.385 8.392 3.786
Tl Cl In
2 1 1
direct
0.000 0.000 0.986 Tl
0.500 0.500 0.285 Tl
0.000 0.000 0.483 Cl
0.500 0.500 0.747 In

=====

Arrangement Q

Tl2InCl GGA-PBE optimized geometry; symmetry = I-42d; theoretical density = 5635 kg/m3
1.0
-2.660 2.022 -5.571
3.080 -4.745 -3.194
-5.875 -6.107 -3.199
Tl Cl In
4 2 2
direct
0.634 0.125 0.250 Tl
0.116 0.625 0.250 Tl
0.375 0.366 0.750 Tl
0.875 0.884 0.750 Tl
0.500 0.500 0.000 Cl
0.250 0.750 0.500 Cl
0.000 0.000 0.000 In
0.750 0.250 0.500 In

=====

Arrangement R

Tl2InCl GGA-PBE optimized geometry; symmetry = R-3m; theoretical density = 7758 kg/m3
1.0
9.921 0.037 0.022
9.187 3.744 0.022
9.187 1.818 3.273
Tl Cl In
2 1 1
direct
0.994 0.994 0.994 Tl
0.506 0.506 0.506 Tl
0.250 0.250 0.250 Cl
0.750 0.750 0.750 In

=====

Arrangement S

Tl2InCl GGA-PBE optimized geometry; symmetry = Pmm2; theoretical density = 7546 kg/m3
1.0
3.879 0.000 0.000
0.000 5.054 0.000
0.000 0.000 6.275
Tl Cl In
2 1 1
direct
0.000 0.000 0.876 Tl
0.500 0.500 0.375 Tl
0.000 0.000 0.375 Cl
0.500 0.500 0.874 In

=====

Winner for stability: arrangement S